(1)
This record from Alexandria describes an optimized crystal structure of ZrSc2Co9. The functional is PBE-GGA.

## Properties
M_tot: 0.82 μB per atom
space group: R-3m
volume: 159 Å³ per cell
energy of formation: -0.26 eV/atom

Lattice parameters (Å, degrees): 4.8153 4.8153 8.4012 73.35 73.35 60.00
Each line ends with the local moment (μB).
Fractional coordinates of all 12 atoms:
Zr  0.0000  0.0000  0.0000  -0.38
Co  0.5000  0.5000  0.5000  1.21
Co  0.0785  0.5853  0.7508  1.29
Co  0.5853  0.0785  0.7508  1.29
Co  0.3350  0.3350  0.9950  1.25
Co  0.4147  0.4147  0.2492  1.29
Co  0.9215  0.4147  0.2492  1.29
Co  0.6650  0.6650  0.0050  1.25
Co  0.5853  0.5853  0.7508  1.29
Co  0.4147  0.9215  0.2492  1.29
Sc  0.1404  0.1404  0.5788  -0.31
Sc  0.8596  0.8596  0.4212  -0.31

=====

(2)
This record from Alexandria describes an optimized crystal structure of Zr3ScCo2. The functional is PBE-GGA.

## Properties
M_tot: 0.00 μB per atom
space group: Pmc2_1
volume: 227 Å³ per cell
energy of formation: -0.22 eV/atom

Lattice parameters (Å, degrees): 3.3391 7.8541 8.6490 90.00 90.00 90.00
Fractional coordinates of all 12 atoms:
Zr  0.0000  0.3436  0.2977
Zr  0.5000  0.6600  0.2140
Zr  0.0000  0.9852  0.0599
Zr  0.5000  0.1600  0.7860
Zr  0.0000  0.4852  0.9401
Zr  0.0000  0.8436  0.7023
Co  0.5000  0.2595  0.0907
Co  0.0000  0.2368  0.5795
Co  0.0000  0.7368  0.4205
Co  0.5000  0.7595  0.9093
Sc  0.5000  0.5149  0.5781
Sc  0.5000  0.0149  0.4219

=====

(3)
This record from Alexandria describes an optimized crystal structure of ZrScCo. The functional is PBE-GGA.

## Properties
M_tot: 0.00 μB per atom
space group: Imm2
volume: 229 Å³ per cell
energy of formation: -0.15 eV/atom

Lattice parameters (Å, degrees): 3.1760 8.0789 8.9211 90.00 90.00 90.00
Fractional coordinates of all 12 atoms:
Zr  0.5000  0.0000  0.6397
Zr  0.0000  0.5000  0.1397
Zr  0.5000  0.5000  0.7931
Zr  0.0000  0.0000  0.2931
Sc  0.0000  0.6898  0.5026
Sc  0.0000  0.3102  0.5026
Sc  0.5000  0.8102  0.0026
Sc  0.5000  0.1898  0.0026
Co  0.0000  0.2349  0.7780
Co  0.0000  0.7651  0.7780
Co  0.5000  0.7349  0.2780
Co  0.5000  0.2651  0.2780

=====

(4)
This record from Alexandria describes an optimized crystal structure of Zr5ScCo6. The functional is PBE-GGA.

## Properties
M_tot: 0.32 μB per atom
space group: C2/m
volume: 194 Å³ per cell
energy of formation: -0.30 eV/atom

Lattice parameters (Å, degrees): 4.4940 6.3960 7.7939 65.77 73.17 90.00
Each line ends with the local moment (μB).
Fractional coordinates of all 12 atoms:
Zr  0.0000  0.5000  0.0000  -0.10
Zr  0.6674  0.6674  0.6651  -0.10
Zr  0.3326  0.3326  0.3349  -0.10
Zr  0.3365  0.8364  0.3271  -0.10
Zr  0.6636  0.1636  0.6729  -0.10
Co  0.5000  0.7455  0.0000  0.79
Co  0.1681  0.9157  0.6639  0.81
Co  0.5000  0.2545  0.0000  0.79
Co  0.8319  0.0843  0.3361  0.81
Co  0.8319  0.5796  0.3361  0.81
Co  0.1681  0.4204  0.6639  0.81
Sc  0.0000  0.0000  0.0000  -0.10

=====

(5)
This record from Alexandria describes an optimized crystal structure of ZrSc4Co. The functional is PBE-GGA.

## Properties
M_tot: 0.00 μB per atom
space group: C2/m
volume: 126 Å³ per cell
energy of formation: -0.11 eV/atom

Lattice parameters (Å, degrees): 3.2883 5.6971 7.7335 106.50 102.26 106.76
Fractional coordinates of all 6 atoms:
Co  0.0014  0.9973  0.4981
Sc  0.7624  0.3876  0.6296
Sc  0.6329  0.9595  0.7985
Sc  0.3693  0.0351  0.1978
Sc  0.2404  0.6069  0.3666
Zr  0.5014  0.4974  0.9981

=====

(6)
This record from Alexandria describes an optimized crystal structure of ZrSc4Co. The functional is PBE-GGA.

## Properties
M_tot: 0.04 μB per atom
space group: F-43m
volume: 133 Å³ per cell
energy of formation: 0.57 eV/atom

Lattice parameters (Å, degrees): 5.7259 5.7259 5.7259 60.00 60.00 60.00
Each line ends with the local moment (μB).
Fractional coordinates of all 6 atoms:
Zr  0.7500  0.7500  0.7500  -0.49
Sc  0.3753  0.8740  0.3753  -0.12
Sc  0.3753  0.3753  0.3753  -0.12
Sc  0.8740  0.3753  0.3753  -0.12
Sc  0.3753  0.3753  0.8740  -0.12
Co  0.0000  0.0000  0.0000  1.65

=====

(7)
This record from Alexandria describes an optimized crystal structure of ZrScCo. The functional is PBE-GGA.

## Properties
M_tot: 0.60 μB per atom
space group: I4mm
volume: 56 Å³ per cell
energy of formation: -0.16 eV/atom

Lattice parameters (Å, degrees): 5.9578 5.9578 3.1840 74.50 74.50 31.00
Each line ends with the local moment (μB).
Fractional coordinates of all 3 atoms:
Co  0.9983  0.9983  0.0017  0.95
Zr  0.3586  0.3586  0.6414  0.31
Sc  0.6431  0.6431  0.3569  0.20

=====

(8)
This record from Alexandria describes an optimized crystal structure of ZrScCo. The functional is PBE-GGA.

## Properties
M_tot: 0.00 μB per atom
space group: P2_1/m
volume: 234 Å³ per cell
energy of formation: -0.20 eV/atom

Lattice parameters (Å, degrees): 5.9452 6.4374 6.4374 81.64 78.00 78.00
Fractional coordinates of all 12 atoms:
Co  0.0550  0.9498  0.1997
Co  0.0551  0.4496  0.6997
Co  0.9450  0.0502  0.8003
Co  0.9449  0.5504  0.3003
Sc  0.6874  0.3552  0.6052
Sc  0.3126  0.6448  0.3948
Sc  0.3127  0.1445  0.8945
Sc  0.6873  0.8555  0.1055
Zr  0.7940  0.8337  0.5840
Zr  0.7940  0.3340  0.0837
Zr  0.2060  0.1663  0.4160
Zr  0.2060  0.6660  0.9163